Entry 1:
{
  "formula": "Ca11Cd9Ni4",
  "functional": "PBE-GGA",
  "state": "relaxed",
  "mass_density_g_cm3": 4.6,
  "cell": [[7.2421, -10.8200, 0.0000], [7.2421, 10.8200, 0.0000], [0.0000, 0.0000, 3.9205]],
  "species": ["Ca", "Ca", "Ca", "Ca", "Ca", "Ca", "Ca", "Ca", "Ca", "Ca", "Ca", "Cd", "Cd", "Cd", "Cd", "Cd", "Cd", "Cd", "Cd", "Cd", "Ni", "Ni", "Ni", "Ni"],
  "fractional_positions": [[0.0000, 0.0000, 0.0000], [0.0795, 0.4150, 0.0000], [0.1665, 0.8335, 0.0000], [0.3080, 0.3080, 0.0000], [0.3739, 0.6261, 0.0000], [0.4150, 0.0795, 0.0000], [0.5850, 0.9205, 0.0000], [0.6261, 0.3739, 0.0000], [0.6920, 0.6920, 0.0000], [0.8335, 0.1665, 0.0000], [0.9205, 0.5850, 0.0000], [0.0793, 0.2225, 0.5000], [0.1638, 0.6239, 0.5000], [0.2225, 0.0793, 0.5000], [0.3761, 0.8362, 0.5000], [0.5000, 0.5000, 0.5000], [0.6239, 0.1638, 0.5000], [0.7775, 0.9207, 0.5000], [0.8362, 0.3761, 0.5000], [0.9207, 0.7775, 0.5000], [0.2507, 0.4493, 0.5000], [0.4493, 0.2507, 0.5000], [0.5507, 0.7493, 0.5000], [0.7493, 0.5507, 0.5000]]
}


Entry 2:
{
  "formula": "DyAgSn",
  "functional": "PBE-GGA",
  "state": "relaxed",
  "mass_density_g_cm3": 9.0,
  "cell": [[4.7373, 0.0000, 0.0000], [-2.3686, 4.1026, 0.0000], [0.0000, 0.0000, 7.3992]],
  "species": ["Dy", "Dy", "Ag", "Ag", "Sn", "Sn"],
  "fractional_positions": [[0.0000, 0.0000, 0.0000], [0.0000, 0.0000, 0.5000], [0.3333, 0.6667, 0.3123], [0.6667, 0.3333, 0.8123], [0.3333, 0.6667, 0.7203], [0.6667, 0.3333, 0.2203]]
}


Entry 3:
{
  "formula": "PrErScZn",
  "functional": "PBE-GGA",
  "state": "relaxed",
  "relative_energy_ev_per_atom": 0.153,
  "mass_density_g_cm3": 6.7,
  "cell": [[0.0000, 3.7346, 3.7346], [3.7346, 0.0000, 3.7346], [3.7346, 3.7346, 0.0000]],
  "species": ["Pr", "Er", "Sc", "Zn"],
  "fractional_positions": [[0.0000, 0.0000, 0.0000], [0.5000, 0.5000, 0.5000], [0.7500, 0.7500, 0.7500], [0.2500, 0.2500, 0.2500]]
}


Entry 4:
{
  "formula": "Cd2In2Pb3",
  "functional": "PBE-GGA",
  "state": "relaxed",
  "mass_density_g_cm3": 9.0,
  "cell": [[2.4514, -11.5502, 0.0000], [2.4514, 11.5502, 0.0000], [0.0000, 0.0000, 3.5023]],
  "species": ["Cd", "Cd", "In", "In", "Pb", "Pb", "Pb"],
  "fractional_positions": [[0.2144, 0.7856, 0.0000], [0.7856, 0.2144, 0.0000], [0.3410, 0.6590, 0.5000], [0.6590, 0.3410, 0.5000], [0.0774, 0.9226, 0.0000], [0.5000, 0.5000, 0.5000], [0.9226, 0.0774, 0.0000]]
}


What did we get for energy of formation? Answer: -240; -590; -1; 33 meV/atom, in the order shown.